Computed, not measured: TmGaRh2 after structural relaxation at the PBE level of DFT.

Cell: 3.2564 3.2564 6.2410 Å, 90.00 90.00 90.00°
With the nearest neighbours (Å) after each atom.
Space group P4/mmm (No. 123)
Inequivalent atoms, fractional coordinates:
Tm1 0.0000 0.0000 0.0000 (multiplicity 1)  8 Rh 2.87, 2 Ga 3.12
Ga1 0.0000 0.0000 0.5000 (multiplicity 1)  8 Rh 2.70
Rh1 0.5000 0.5000 0.2753 (multiplicity 2)  4 Ga 2.70, 1 Rh 2.80, 4 Tm 2.87

Results
ΔH_f (0 K): -0.821 eV per atom
Crystal system: tetragonal

Computed, not measured: Tm2Ga3Rh after structural relaxation at the PBE level of DFT.

Cell: 4.6667 5.5853 9.5876 Å, 90.00 90.00 90.00°
With the nearest neighbours (Å) after each atom.
Space group Immm (No. 71)
Inequivalent atoms, fractional coordinates:
Tm1 0.0000 0.0000 0.1920 (multiplicity 4)  6 Ga 2.85-2.97, 1 Rh 2.95
Ga1 0.0000 0.5000 0.1301 (multiplicity 4)  1 Ga 2.49, 2 Rh 2.65
Ga2 0.0000 0.5000 0.5000 (multiplicity 2)  2 Rh 2.79, 4 Tm 2.97
Rh1 0.0000 0.0000 0.5000 (multiplicity 2)  6 Ga 2.65-2.79, 2 Tm 2.95

Results
ΔH_f (0 K): -0.359 eV per atom
Energy relative to the lowest polymorph listed for this composition: 399 meV per atom
Crystal system: orthorhombic

Computed, not measured: Tm2Ga9Rh3 after structural relaxation at the PBE level of DFT.

Cell: 13.0822 7.5278 10.4486 Å, 90.00 114.77 90.00°
With the nearest neighbours (Å) after each atom.
Space group C2/c (No. 15)
Inequivalent atoms, fractional coordinates:
Tm1 0.1686 0.0830 0.2507 (multiplicity 8)  11 Ga 2.98-3.14
Ga1 0.0000 0.3697 0.2500 (multiplicity 4)  2 Rh 2.56, 6 Ga 2.73-2.81
Ga2 0.0569 0.0820 0.9200 (multiplicity 8)  3 Rh 2.56-2.63, 3 Ga 2.74-2.87
Ga3 0.1045 0.3139 0.7485 (multiplicity 8)  2 Rh 2.55-2.56, 6 Ga 2.73-2.79
Ga4 0.1062 0.4150 0.0674 (multiplicity 8)  3 Rh 2.59-2.65, 5 Ga 2.79-2.88
Ga5 0.2233 0.4159 0.4202 (multiplicity 8)  3 Rh 2.58-2.63, 3 Ga 2.73-2.88
Rh1 0.0856 0.2429 0.5007 (multiplicity 8)  8 Ga 2.55-2.65
Rh2 0.2500 0.2500 0.0000 (multiplicity 4)  8 Ga 2.56-2.63

Results
ΔH_f (0 K): -0.692 eV per atom
Crystal system: monoclinic

Computed, not measured: TmGa4Rh after structural relaxation at the PBE level of DFT.

Cell: 4.2437 4.2493 6.9144 Å, 90.00 90.02 90.00°
With the nearest neighbours (Å) after each atom.
Space group P2/m (No. 10)
Inequivalent atoms, fractional coordinates:
Tm1 0.0000 0.0000 0.0000 (multiplicity 1)  8 Ga 2.95
Ga1 0.0015 0.5000 0.2960 (multiplicity 2)  2 Rh 2.55, 1 Ga 2.82
Ga2 0.5003 0.0000 0.2957 (multiplicity 2)  2 Rh 2.55, 1 Ga 2.83
Rh1 0.0000 0.0000 0.5000 (multiplicity 1)  8 Ga 2.55

Results
ΔH_f (0 K): -0.402 eV per atom
Crystal system: monoclinic

Computed, not measured: Tm2Ga2Rh after structural relaxation at the PBE level of DFT.

Cell: 10.6499 4.0581 10.5583 Å, 90.00 115.31 90.00°
With the nearest neighbours (Å) after each atom.
Space group C2/m (No. 12)
Inequivalent atoms, fractional coordinates:
Tm1 0.0047 0.0000 0.3280 (multiplicity 4)  6 Ga 2.98-3.17, 3 Rh 3.00-3.11
Tm2 0.1901 0.0000 0.1216 (multiplicity 4)  2 Rh 2.95, 6 Ga 3.05-3.13
Ga1 0.0289 0.5000 0.8912 (multiplicity 4)  1 Ga 2.62, 1 Rh 2.67
Ga2 0.1465 0.5000 0.5519 (multiplicity 4)  3 Rh 2.50-2.70
Rh1 0.2151 0.5000 0.3336 (multiplicity 4)  4 Ga 2.50-2.70

Results
ΔH_f (0 K): -0.779 eV per atom
Crystal system: monoclinic

Computed, not measured: TmGa4Rh5 after structural relaxation at the PBE level of DFT.

Cell: 3.0503 3.0503 16.1252 Å, 90.00 90.00 90.00°
With the nearest neighbours (Å) after each atom.
Space group P4/mmm (No. 123)
Inequivalent atoms, fractional coordinates:
Tm1 0.0000 0.0000 0.0000 (multiplicity 1)  8 Rh 2.95, 4 Tm 3.05
Ga1 0.0000 0.0000 0.2126 (multiplicity 2)  8 Rh 2.58-2.70
Ga2 0.0000 0.0000 0.4048 (multiplicity 2)  8 Rh 2.61-2.65
Rh1 0.5000 0.5000 0.1245 (multiplicity 2)  4 Ga 2.58
Rh2 0.5000 0.5000 0.3133 (multiplicity 2)  8 Ga 2.61-2.70
Rh3 0.5000 0.5000 0.5000 (multiplicity 1)  8 Ga 2.65

Results
ΔH_f (0 K): -0.723 eV per atom
Crystal system: tetragonal

Computed, not measured: Tm3GaRh2 after structural relaxation at the PBE level of DFT.

Cell: 3.4267 3.4267 10.3565 Å, 90.00 90.00 90.00°
With the nearest neighbours (Å) after each atom.
Space group P4/mmm (No. 123)
Inequivalent atoms, fractional coordinates:
Tm1 0.0000 0.0000 0.0000 (multiplicity 1)  8 Rh 2.96, 2 Tm 3.31
Tm2 0.0000 0.0000 0.3193 (multiplicity 2)  4 Rh 2.91, 4 Ga 3.06
Ga1 0.5000 0.5000 0.5000 (multiplicity 1)  8 Tm 3.06, 4 Ga 3.43
Rh1 0.5000 0.5000 0.1641 (multiplicity 2)  8 Tm 2.91-2.96

Results
ΔH_f (0 K): -0.844 eV per atom
Crystal system: tetragonal

Computed, not measured: TmGaRh after structural relaxation at the PBE level of DFT.

Cell: 7.0050 4.0179 11.9569 Å, 90.00 91.91 90.00°
With the nearest neighbours (Å) after each atom.
Space group P2_1/m (No. 11)
Inequivalent atoms, fractional coordinates:
Tm1 0.0334 0.2500 0.1247 (multiplicity 2)  5 Rh 2.89-2.96, 4 Ga 3.11-3.19
Tm2 0.1578 0.2500 0.4197 (multiplicity 2)  5 Rh 2.92-2.93, 5 Ga 3.08-3.16
Tm3 0.4568 0.7500 0.7886 (multiplicity 2)  5 Rh 2.72-2.95
Ga1 0.1263 0.2500 0.7032 (multiplicity 2)  4 Rh 2.62-2.74
Ga2 0.3550 0.7500 0.0454 (multiplicity 2)  4 Rh 2.58-2.71
Ga3 0.4943 0.7500 0.4160 (multiplicity 2)  4 Rh 2.60-2.68, 2 Ga 2.84
Rh1 0.2439 0.7500 0.2508 (multiplicity 2)  3 Ga 2.60-2.67, 2 Tm 2.89
Rh2 0.2599 0.7500 0.5882 (multiplicity 2)  5 Ga 2.62-2.68, 4 Tm 2.72-2.92
Rh3 0.2608 0.2500 0.9206 (multiplicity 2)  4 Ga 2.58-2.74

Results
ΔH_f (0 K): -0.898 eV per atom
Crystal system: monoclinic

Computed, not measured: Tm2Ga4Rh after structural relaxation at the PBE level of DFT.

Cell: 4.6374 4.6374 14.6600 Å, 90.00 90.00 90.00°
With the nearest neighbours (Å) after each atom.
Space group I4/mmm (No. 139)
Inequivalent atoms, fractional coordinates:
Tm1 0.0000 0.0000 0.1384 (multiplicity 4)  5 Ga 2.81-3.08
Ga1 0.0000 0.0000 0.3300 (multiplicity 4)  1 Rh 2.49
Ga2 0.0000 0.5000 0.0000 (multiplicity 4)  2 Rh 2.32
Rh1 0.0000 0.0000 0.5000 (multiplicity 2)  6 Ga 2.32-2.49

Results
ΔH_f (0 K): -0.285 eV per atom
Crystal system: tetragonal

Computed, not measured: Tm4Ga12Rh after structural relaxation at the PBE level of DFT.

Cell: 8.5554 8.5554 8.5554 Å, 90.00 90.00 90.00°
With the nearest neighbours (Å) after each atom.
Space group Im-3m (No. 229)
Inequivalent atoms, fractional coordinates:
Tm1 0.2500 0.2500 0.2500 (multiplicity 8)  12 Ga 3.02-3.05
Ga1 0.0000 0.0000 0.2922 (multiplicity 12)  1 Rh 2.50, 4 Ga 2.78
Ga2 0.0000 0.2500 0.5000 (multiplicity 12)  8 Ga 2.78-3.02, 4 Tm 3.02
Rh1 0.0000 0.0000 0.0000 (multiplicity 2)  6 Ga 2.50

Results
ΔH_f (0 K): -0.593 eV per atom
Crystal system: cubic

Computed, not measured: Tm2Ga5Rh after structural relaxation at the PBE level of DFT.

Cell: 6.1532 6.1532 7.9786 Å, 90.00 90.00 90.00°
With the nearest neighbours (Å) after each atom.
Space group I4mm (No. 107)
Inequivalent atoms, fractional coordinates:
Tm1 0.0000 0.5000 0.0000 (multiplicity 4)  10 Ga 2.95-3.08
Ga1 0.0000 0.0000 0.4745 (multiplicity 2)  1 Rh 2.54
Ga2 0.2161 0.2161 0.7475 (multiplicity 8)  1 Rh 2.58, 3 Ga 2.66-2.88
Rh1 0.0000 0.0000 0.1563 (multiplicity 2)  5 Ga 2.54-2.58

Results
ΔH_f (0 K): -0.514 eV per atom
Crystal system: tetragonal

Computed, not measured: TmGaRh4 after structural relaxation at the PBE level of DFT.

Cell: 2.9423 4.4993 7.6288 Å, 90.00 90.00 90.00°
With the nearest neighbours (Å) after each atom.
Space group Pmmm (No. 47)
Inequivalent atoms, fractional coordinates:
Tm1 0.0000 0.0000 0.0000 (multiplicity 1)  8 Rh 2.78-2.86, 2 Tm 2.94
Ga1 0.5000 0.5000 0.5000 (multiplicity 1)  8 Rh 2.52-2.68
Rh1 0.0000 0.5000 0.2314 (multiplicity 2)  2 Ga 2.52, 4 Rh 2.75
Rh2 0.5000 0.0000 0.3086 (multiplicity 2)  2 Ga 2.68, 7 Rh 2.75-2.94, 2 Tm 2.78

Results
ΔH_f (0 K): -0.293 eV per atom
Energy relative to the lowest polymorph listed for this composition: 154 meV per atom
Crystal system: orthorhombic